1.
Compound: GdHfGa2
Source: Alexandria
Functional: PBE
Structure: optimized geometry

## Properties
Calculated density: 9.422 g/cm3
E above lowest polymorph: 0.000 eV/atom
Formation enthalpy at 0 K: -0.43 eV per atom

Cell: 3.581 3.581 6.531 Å, 90.00 90.00 90.00°
Site moments in Bohr magnetons follow the coordinates.
Element x y z (fractional)
Hf1 0.500 0.500 0.000  0.12
Ga1 0.000 0.000 0.215  -0.02
Ga2 0.000 0.000 0.785  -0.02
Gd1 0.500 0.500 0.500  7.12

2.
Compound: GdHfGa2
Source: Alexandria
Functional: PBE
Structure: optimized geometry

## Properties
Calculated density: 9.509 g/cm3
E above lowest polymorph: 0.065 eV/atom
Formation enthalpy at 0 K: -0.36 eV per atom

Cell: 3.160 5.124 5.124 Å, 90.00 90.00 90.00°
Site moments in Bohr magnetons follow the coordinates.
Element x y z (fractional)
Ga1 0.000 0.000 0.500  -0.01
Ga2 0.000 0.500 0.000  -0.01
Hf1 0.500 0.000 0.000  -0.04
Gd1 0.500 0.500 0.500  7.16

> Look up the formation enthalpy at 0 K of the second one.

-0.36 eV per atom

> Number 1 is which compound?

GdHfGa2

> The highest E above lowest polymorph belongs to which entry?

number 2